1.
Computed, not measured: LuHg2Se after structural relaxation at the PBE-GGA level of DFT.

Values from the calculation:
- spin magnetization (μB/cell) = 0.00
- final energy (eV per atom) = -1.98
- density (g/cm3) = 10.0
- crystal system = trigonal

Lattice parameters (Å, degrees): 3.4371 3.4371 10.8566 80.89 80.89 60.00
Element x y z (fractional)
Lu  0.0000  0.0000  0.0000
Hg  0.0923  0.0923  0.7231
Hg  0.9077  0.9077  0.2769
Se  0.5000  0.5000  0.5000


2.
Computed, not measured: SmLuHg after structural relaxation at the PBE-GGA level of DFT.

Values from the calculation:
- spin magnetization (μB/cell) = 0.00
- formation energy from the elements (eV per formula unit) = -0.57
- density (g/cm3) = 10.2
- crystal system = trigonal

Lattice parameters (Å, degrees): 3.8145 5.0987 5.0987 120.00 90.00 90.00
Element x y z (fractional)
Lu  0.1417  0.0000  0.0000
Hg  0.2062  0.3333  0.6667
Sm  0.6522  0.6667  0.3333